(1)
PBE ScNiP, relaxed; formation energy = -0.5469 eV/atom; Fermi-level density of states = 1.73 states/eV per cell
1.0
0.0000 2.2415 4.6609
2.1282 0.0000 4.6609
2.1282 2.2415 0.0000
P Ni Sc
1 1 1
Direct
0.6325 0.6325 0.3675
0.0329 0.0329 0.9671
0.3346 0.3346 0.6654

---

(2)
PBE ScNiP2, relaxed; formation energy = -0.7789 eV/atom; Fermi-level density of states = 1.52 states/eV per cell
1.0
-2.8865 -0.9334 -1.9620
-1.2049 -1.9214 2.6868
-2.4209 3.9057 1.7035
Ni P Sc
1 2 1
Direct
0.5000 0.7500 0.7500
0.0000 0.7496 0.0172
0.0000 0.7504 0.4828
0.5000 0.2500 0.2500